1.
! NaSrAcHg | Alexandria via LeMat-Bulk | PBE | optimized geometry; values from VASP
&SYSTEM
  ibrav = 0, nat = 4, ntyp = 4
/
ATOMIC_SPECIES
Sr 87.62 Sr.upf
Ac 227.00 Ac.upf
Hg 200.59 Hg.upf
Na 22.99 Na.upf
ATOMIC_POSITIONS crystal
Sr 0.250 0.250 0.250
Ac 0.750 0.750 0.750
Hg 0.500 0.500 0.500
Na 0.000 0.000 0.000
CELL_PARAMETERS angstrom
5.842 0.000 0.000
2.921 5.059 0.000
2.921 1.686 4.770
! Calculated volume, Å³ per atom: 35.25
! Space-group type: No. 216
! Electronic total energy, eV/atom: -2.004
! Formation energy, eV/atom: -0.152


2.
! PS2ClO | Alexandria via LeMat-Bulk | PBE | optimized geometry; values from VASP
&SYSTEM
  ibrav = 0, nat = 5, ntyp = 4
/
ATOMIC_SPECIES
O 16.00 O.upf
S 32.06 S.upf
Cl 35.45 Cl.upf
P 30.97 P.upf
ATOMIC_POSITIONS crystal
O 0.500 0.500 0.500
S 0.500 0.000 0.000
S 0.000 0.500 0.000
Cl 0.000 0.000 0.500
P 0.000 0.000 0.000
CELL_PARAMETERS angstrom
4.510 0.000 0.000
0.000 4.510 0.000
0.000 0.000 4.620
! Formation energy from raw total energies, kJ/mol of formula units: 496.0
! E above lowest polymorph, meV per atom: 88.2
! Calculated volume, Å³ per atom: 18.79
! Space-group type: No. 123
! Electronic total energy, eV/atom: -3.066


Q: The lowest electronic total energy belongs to which entry?
A: PS2ClO